# 1
A plane-wave DFT calculation with PBE was carried out for a geometry-optimized BaLaIn2Rh structure.

a b c (Å): 5.435 5.435 5.250
angles (deg): 90.00 90.00 90.00
Fractional positions:
In1 0.000 0.500 0.000
In2 0.500 0.000 0.000
Rh1 0.000 0.000 0.000
Ba1 0.500 0.500 0.500
La1 0.000 0.000 0.500

Output
Formation energy from the elements (kJ per mole of atoms): -45.4
Total moment (μB per formula unit): 0.000
Calculated density (Mg/m³): 6.5
Space group: P4/mmm
Energy (Ha/atom): -0.1619

***

# 2
A plane-wave DFT calculation with PBE was carried out for a geometry-optimized Ba2LaInRh structure.

a b c (Å): 6.136 6.136 5.342
angles (deg): 90.00 90.00 90.00
Fractional positions:
In1 0.500 0.500 0.500
Rh1 0.000 0.000 0.000
Ba1 0.000 0.500 0.000
Ba2 0.500 0.000 0.000
La1 0.000 0.000 0.500

Output
Formation energy from the elements (kJ per mole of atoms): -24.4
Excess energy over the best structure of this formula in the dataset (meV/atom): 0
Total moment (μB per formula unit): 0.009
Calculated density (Mg/m³): 5.2
Space group: P4/mmm
Energy (Ha/atom): -0.1479